Record 1
A relaxed MgCu2Au8 crystal. Source: the Alexandria database, functional PBE-GGA.

Cell: 7.525 7.525 6.606 Å, 107.67 107.67 31.84°
Atoms (fractional coordinates):
Mg 0.000 0.000 0.000
Cu 0.276 0.276 0.363
Cu 0.724 0.724 0.637
Au 0.102 0.102 0.461
Au 0.181 0.181 0.923
Au 0.356 0.356 0.797
Au 0.454 0.454 0.271
Au 0.546 0.546 0.729
Au 0.644 0.644 0.203
Au 0.819 0.819 0.077
Au 0.898 0.898 0.539

Computed properties:
* magnetization: 0.000 μB/atom
* formation energy from the elements: -0.16 eV per atom

***

Record 2
A relaxed KSmRe2O8 crystal. Source: the Alexandria database, functional PBE-GGA.

Cell: 6.079 6.079 7.650 Å, 90.00 90.00 120.00°
Atoms (fractional coordinates):
K 0.000 0.000 0.000
Sm 0.000 0.000 0.500
Re 0.333 0.667 0.771
Re 0.667 0.333 0.229
O 0.172 0.344 0.690
O 0.172 0.828 0.690
O 0.333 0.667 0.002
O 0.344 0.172 0.310
O 0.656 0.828 0.690
O 0.667 0.333 0.998
O 0.828 0.172 0.310
O 0.828 0.656 0.310

Computed properties:
* formation energy from raw total energies: -1.98 eV/atom
* magnetization: 0.167 μB/atom

***

Record 3
A relaxed Ca2TbPd3 crystal. Source: the Alexandria database, functional PBE-GGA.

Cell: 7.904 7.904 7.093 Å, 90.00 90.00 143.30°
Atoms (fractional coordinates):
Ca 0.000 0.000 0.000
Ca 0.000 0.000 0.500
Ca 0.333 0.667 0.000
Ca 0.667 0.333 0.000
Tb 0.337 0.663 0.500
Tb 0.663 0.337 0.500
Pd 0.173 0.827 0.269
Pd 0.173 0.827 0.731
Pd 0.500 0.500 0.257
Pd 0.500 0.500 0.743
Pd 0.827 0.173 0.269
Pd 0.827 0.173 0.731

Computed properties:
* magnetization: 0.000 μB/atom
* formation energy from the elements: -0.77 eV per atom

***

Record 4
A relaxed TiAlV3 crystal. Source: the Alexandria database, functional PBE-GGA.

Cell: 7.128 7.128 4.932 Å, 90.00 90.00 140.88°
Atoms (fractional coordinates):
Ti 0.181 0.819 0.750
Ti 0.819 0.181 0.250
Al 0.443 0.557 0.250
Al 0.557 0.443 0.750
V 0.000 0.000 0.000
V 0.000 0.000 0.500
V 0.097 0.387 0.750
V 0.387 0.097 0.250
V 0.613 0.903 0.750
V 0.903 0.613 0.250

Computed properties:
* magnetization: 0.000 μB/atom
* formation energy from the elements: 0.26 eV per atom
* ΔE to the lowest computed polymorph: 256.3 meV/atom

***

Record 5
A relaxed CrInHg crystal. Source: the Alexandria database, functional PBE-GGA.

Cell: 3.305 3.305 6.885 Å, 90.00 90.00 120.00°
Atoms (fractional coordinates):
Cr 0.000 0.000 0.000
In 0.333 0.667 0.678
Hg 0.667 0.333 0.310

Computed properties:
* magnetization: 1.332 μB/atom
* formation energy from the elements: 0.40 eV per atom
* ΔE to the lowest computed polymorph: 98.7 meV/atom

***

Record 6
A relaxed VSnMoRh crystal. Source: the Alexandria database, functional PBE-GGA.

Cell: 4.476 4.476 4.476 Å, 60.00 60.00 60.00°
Atoms (fractional coordinates):
V 0.000 0.000 0.000
Sn 0.500 0.500 0.500
Mo 0.750 0.750 0.750
Rh 0.250 0.250 0.250

Computed properties:
* magnetization: 0.000 μB/atom
* formation energy from the elements: -0.13 eV per atom

***

Record 7
A relaxed Al2CdMo2 crystal. Source: the Alexandria database, functional PBE-GGA.

Cell: 6.855 6.855 6.855 Å, 148.07 148.07 45.78°
Atoms (fractional coordinates):
Al 0.250 0.750 0.500
Al 0.750 0.250 0.500
Cd 0.000 0.000 0.000
Mo 0.403 0.403 0.000
Mo 0.597 0.597 0.000

Computed properties:
* magnetization: 0.000 μB/atom
* formation energy from the elements: 0.42 eV per atom
* ΔE to the lowest computed polymorph: 313.5 meV/atom

***

Record 8
A relaxed CaLa3Ir crystal. Source: the Alexandria database, functional PBE-GGA.

Cell: 3.981 10.422 10.422 Å, 42.65 90.00 90.00°
Atoms (fractional coordinates):
Ca 0.000 0.000 0.000
La 0.000 0.423 0.931
La 0.000 0.931 0.423
La 0.500 0.823 0.823
Ir 0.500 0.684 0.684

Computed properties:
* magnetization: 0.187 μB/atom
* formation energy from the elements: 0.27 eV per atom
* ΔE to the lowest computed polymorph: 616.8 meV/atom

***

Record 9
A relaxed Tb3SmDy6Th2 crystal. Source: the Alexandria database, functional PBE-GGA.

Cell: 6.177 6.177 11.761 Å, 95.03 95.03 119.95°
Atoms (fractional coordinates):
Tb 0.000 0.000 0.000
Tb 0.334 0.666 0.000
Tb 0.666 0.334 0.000
Sm 0.500 0.500 0.500
Dy 0.079 0.417 0.252
Dy 0.245 0.245 0.748
Dy 0.417 0.079 0.252
Dy 0.583 0.921 0.748
Dy 0.755 0.755 0.252
Dy 0.921 0.583 0.748
Th 0.167 0.833 0.500
Th 0.833 0.167 0.500

Computed properties:
* magnetization: 0.000 μB/atom
* formation energy from the elements: 0.03 eV per atom

***

Record 10
A relaxed HfZrSe3 crystal. Source: the Alexandria database, functional PBE-GGA.

Cell: 5.131 5.131 5.131 Å, 90.00 90.00 90.00°
Atoms (fractional coordinates):
Hf 0.000 0.000 0.000
Zr 0.500 0.500 0.500
Se 0.000 0.500 0.500
Se 0.500 0.000 0.500
Se 0.500 0.500 0.000

Computed properties:
* formation energy from raw total energies: -0.12 eV/atom
* magnetization: 0.317 μB/atom
* ΔE to the lowest computed polymorph: 1108.8 meV/atom

***

Record 11
A relaxed LaSnHg crystal. Source: the Alexandria database, functional PBE-GGA.

Cell: 10.270 8.912 7.357 Å, 77.64 57.96 44.41°
Atoms (fractional coordinates):
La 0.064 0.064 0.686
La 0.314 0.314 0.936
La 0.686 0.686 0.064
La 0.936 0.936 0.314
Sn 0.071 0.679 0.679
Sn 0.321 0.929 0.929
Sn 0.679 0.071 0.071
Sn 0.929 0.321 0.321
Hg 0.000 0.500 0.500
Hg 0.500 0.000 0.500
Hg 0.500 0.500 0.000
Hg 0.500 0.500 0.500

Computed properties:
* magnetization: 0.000 μB/atom
* formation energy from the elements: -0.31 eV per atom

***

Record 12
A relaxed LiNiP2 crystal. Source: the Alexandria database, functional PBE-GGA.

Cell: 3.719 3.719 3.529 Å, 90.00 90.00 90.00°
Atoms (fractional coordinates):
Li 0.000 0.000 0.000
Ni 0.500 0.500 0.000
P 0.000 0.500 0.500
P 0.500 0.000 0.500

Computed properties:
* magnetization: 0.000 μB/atom
* formation energy from the elements: -0.15 eV per atom

***

Record 13
A relaxed Fe3C crystal. Source: the Alexandria database, functional PBE-GGA.

Cell: 5.591 5.591 2.666 Å, 90.00 90.00 87.30°
Atoms (fractional coordinates):
Fe 0.134 0.385 0.750
Fe 0.153 0.847 0.750
Fe 0.385 0.134 0.250
Fe 0.615 0.866 0.750
Fe 0.847 0.153 0.250
Fe 0.866 0.615 0.250
C 0.449 0.551 0.750
C 0.551 0.449 0.250

Computed properties:
* magnetization: 1.631 μB/atom
* formation energy from the elements: 0.47 eV per atom

***

Record 14
A relaxed SmDyMgBi crystal. Source: the Alexandria database, functional PBE-GGA.

Cell: 5.458 5.458 5.458 Å, 60.00 60.00 60.00°
Atoms (fractional coordinates):
Sm 0.000 0.000 0.000
Dy 0.500 0.500 0.500
Mg 0.250 0.250 0.250
Bi 0.750 0.750 0.750

Computed properties:
* magnetization: 0.000 μB/atom
* formation energy from the elements: -0.32 eV per atom

***

Record 15
A relaxed GdBeP2 crystal. Source: the Alexandria database, functional PBE-GGA.

Cell: 7.474 7.474 7.474 Å, 32.09 32.09 32.09°
Atoms (fractional coordinates):
Gd 0.000 0.000 0.000
Be 0.500 0.500 0.500
P 0.406 0.406 0.406
P 0.594 0.594 0.594

Computed properties:
* magnetization: 1.697 μB/atom
* formation energy from the elements: -0.30 eV per atom

***

Record 16
A relaxed Ho2HfPd9 crystal. Source: the Alexandria database, functional PBE-GGA.

Cell: 4.070 4.070 12.275 Å, 90.00 90.00 90.00°
Atoms (fractional coordinates):
Ho 0.000 0.000 0.169
Ho 0.000 0.000 0.831
Hf 0.000 0.000 0.500
Pd 0.000 0.500 0.000
Pd 0.000 0.500 0.342
Pd 0.000 0.500 0.658
Pd 0.500 0.000 0.000
Pd 0.500 0.000 0.342
Pd 0.500 0.000 0.658
Pd 0.500 0.500 0.171
Pd 0.500 0.500 0.500
Pd 0.500 0.500 0.829

Computed properties:
* magnetization: 0.000 μB/atom
* formation energy from the elements: -0.90 eV per atom

***

Record 17
A relaxed Pm2Cu9Ni6 crystal. Source: the Alexandria database, functional PBE-GGA.

Cell: 4.941 4.941 12.153 Å, 90.00 90.00 120.00°
Atoms (fractional coordinates):
Pm 0.000 0.000 0.177
Pm 0.000 0.000 0.823
Cu 0.000 0.500 0.000
Cu 0.000 0.500 0.337
Cu 0.000 0.500 0.663
Cu 0.500 0.000 0.000
Cu 0.500 0.000 0.337
Cu 0.500 0.000 0.663
Cu 0.500 0.500 0.000
Cu 0.500 0.500 0.337
Cu 0.500 0.500 0.663
Ni 0.333 0.667 0.168
Ni 0.333 0.667 0.500
Ni 0.333 0.667 0.832
Ni 0.667 0.333 0.168
Ni 0.667 0.333 0.500
Ni 0.667 0.333 0.832

Computed properties:
* magnetization: 0.038 μB/atom
* formation energy from the elements: -0.01 eV per atom

***

Record 18
A relaxed TcH2O crystal. Source: the Alexandria database, functional PBE-GGA.

Cell: 3.386 3.386 3.386 Å, 60.00 60.00 60.00°
Atoms (fractional coordinates):
Tc 0.000 0.000 0.000
H 0.250 0.250 0.250
H 0.750 0.750 0.750
O 0.500 0.500 0.500

Computed properties:
* magnetization: 0.406 μB/atom
* ΔE to the lowest computed polymorph: 166.9 meV/atom

***

Record 19
A relaxed CdAg4Se crystal. Source: the Alexandria database, functional PBE-GGA.

Cell: 5.558 5.558 5.558 Å, 60.00 60.00 60.00°
Atoms (fractional coordinates):
Cd 0.000 0.000 0.000
Ag 0.374 0.374 0.374
Ag 0.374 0.374 0.877
Ag 0.374 0.877 0.374
Ag 0.877 0.374 0.374
Se 0.750 0.750 0.750

Computed properties:
* formation energy from raw total energies: 0.13 eV/atom
* magnetization: 0.000 μB/atom

***

Record 20
A relaxed YScBe2Pt5 crystal. Source: the Alexandria database, functional PBE-GGA.

Cell: 4.058 4.058 8.655 Å, 90.00 90.00 90.00°
Atoms (fractional coordinates):
Y 0.000 0.000 0.000
Sc 0.000 0.000 0.500
Be 0.500 0.500 0.370
Be 0.500 0.500 0.630
Pt 0.000 0.500 0.253
Pt 0.000 0.500 0.747
Pt 0.500 0.000 0.253
Pt 0.500 0.000 0.747
Pt 0.500 0.500 0.000

Computed properties:
* magnetization: 0.000 μB/atom
* formation energy from the elements: -0.92 eV per atom